Entry 1:
Material: TbCo3B3
Method: DFT, PBE
State: optimized geometry

a = 5.4804 Å, b = 5.4804 Å, c = 5.4804 Å
α = 90.00°, β = 90.00°, γ = 90.00°
With the nearest neighbours (Å) after each atom.
Space group Pm-3n (No. 223)
Inequivalent atoms, fractional coordinates:
Tb: 0.0000 0.0000 0.0000 (multiplicity 2)  12 Co 3.06, 12 B 3.06
Co: 0.0000 0.2500 0.5000 (multiplicity 6)  4 B 1.94
B: 0.0000 0.5000 0.2500 (multiplicity 6)  4 Co 1.94

The calculation puts the offset from the most stable computed form at 0.000 eV/atom. The calculated formation energy is -190 meV per atom. The total magnetic moment is 0.00 μB/f.u. The value obtained for the volume is 11.76 Å³ per atom.

---

Entry 2:
Material: TbCo4B
Method: DFT, PBE
State: optimized geometry

a = 5.0079 Å, b = 5.0079 Å, c = 6.8388 Å
α = 90.00°, β = 90.00°, γ = 120.00°
With the nearest neighbours (Å) after each atom.
Space group P6/mmm (No. 191)
Inequivalent atoms, fractional coordinates:
Tb: 0.0000 0.0000 0.0000 (multiplicity 1)  6 B 2.89, 12 Co 2.89
Tb: 0.0000 0.0000 0.5000 (multiplicity 1)  18 Co 2.89-3.19
Co: 0.0000 0.5000 0.2121 (multiplicity 6)  2 B 2.05
Co: 0.3333 0.6667 0.5000 (multiplicity 2)  6 Co 2.44
B: 0.3333 0.6667 0.0000 (multiplicity 2)  6 Co 2.05

The calculated formation energy is -295 meV per atom. The total magnetic moment is 3.50 μB/f.u. The value obtained for the volume is 12.38 Å³ per atom.

---

Entry 3:
Material: TbCo3B3
Method: DFT, PBE
State: optimized geometry

a = 6.6401 Å, b = 6.6401 Å, c = 6.6401 Å
α = 90.00°, β = 90.00°, γ = 90.00°
With the nearest neighbours (Å) after each atom.
Space group P2_13 (No. 198)
Inequivalent atoms, fractional coordinates:
Tb: 0.0548 0.4452 0.5548 (multiplicity 4)  5 Co 2.52-2.78, 6 B 2.56-2.77
Co: 0.1026 0.6026 0.8974 (multiplicity 4)  3 B 1.99
Co: 0.1816 0.1816 0.1816 (multiplicity 4)  6 B 2.20-2.26
Co: 0.2038 0.7962 0.2962 (multiplicity 4)  6 B 2.14-2.40
B: 0.0049 0.8280 0.5488 (multiplicity 12)  2 B 1.87, 1 Co 1.99

The calculation puts the offset from the most stable computed form at 0.078 eV/atom. The calculated formation energy is -113 meV per atom. The total magnetic moment is 0.00 μB/f.u. The value obtained for the volume is 10.46 Å³ per atom.

---

Entry 4:
Material: Tb2Co3B2
Method: DFT, PBE
State: optimized geometry

a = 9.7461 Å, b = 3.3684 Å, c = 6.3582 Å
α = 90.00°, β = 115.11°, γ = 90.00°
With the nearest neighbours (Å) after each atom.
Space group C2/m (No. 12)
Inequivalent atoms, fractional coordinates:
Tb: 0.1294 0.0000 0.2712 (multiplicity 4)  3 B 2.63-2.81, 4 Co 2.82-2.85
Co: 0.0000 0.5000 0.5000 (multiplicity 2)  4 B 2.34, 2 Co 2.48
Co: 0.1475 0.5000 0.9287 (multiplicity 4)  3 B 2.03-2.18
B: 0.1461 0.0000 0.7496 (multiplicity 4)  3 Co 2.03-2.18

The calculated formation energy is -265 meV per atom. The total magnetic moment is 0.00 μB/f.u. The value obtained for the volume is 13.50 Å³ per atom.

---

Entry 5:
Material: TbCo3B2
Method: DFT, PBE
State: optimized geometry

a = 8.2999 Å, b = 6.7661 Å, c = 4.8322 Å
α = 90.00°, β = 90.00°, γ = 90.00°
With the nearest neighbours (Å) after each atom.
Space group Cmcm (No. 63)
Inequivalent atoms, fractional coordinates:
Tb: 0.0000 0.1521 0.2500 (multiplicity 4)  3 Co 2.59-2.65
Co: 0.0000 0.4563 0.7500 (multiplicity 4)  4 B 2.12
Co: 0.2091 0.2110 0.7500 (multiplicity 8)  2 B 2.00
B: 0.2063 0.5000 0.0000 (multiplicity 8)  4 Co 2.00-2.12

The calculation puts the offset from the most stable computed form at 0.255 eV/atom. The calculated formation energy is -226 meV per atom. The total magnetic moment is 0.00 μB/f.u. The value obtained for the volume is 11.31 Å³ per atom.

---

Entry 6:
Material: Tb2Co3B4
Method: DFT, PBE
State: optimized geometry

a = 4.9022 Å, b = 8.2791 Å, c = 11.7190 Å
α = 90.00°, β = 90.00°, γ = 90.00°
With the nearest neighbours (Å) after each atom.
Space group Fmmm (No. 69)
Inequivalent atoms, fractional coordinates:
Tb: 0.0000 0.0000 0.1495 (multiplicity 8)  8 B 2.78-3.02, 6 Co 2.98-3.01
Co: 0.0000 0.0000 0.5000 (multiplicity 4)  4 B 1.98
Co: 0.2500 0.2500 0.0000 (multiplicity 8)  4 B 2.00
B: 0.0000 0.1667 0.3783 (multiplicity 16)  3 Co 1.98-2.00

The calculated formation energy is -47 meV per atom. The total magnetic moment is 0.00 μB/f.u. The value obtained for the volume is 13.21 Å³ per atom.

---

Entry 7:
Material: TbCoB3
Method: DFT, PBE
State: optimized geometry

a = 3.0596 Å, b = 15.7841 Å, c = 4.5419 Å
α = 90.00°, β = 90.00°, γ = 90.00°
With the nearest neighbours (Å) after each atom.
Space group Cmcm (No. 63)
Inequivalent atoms, fractional coordinates:
Tb: 0.0000 0.0786 0.2500 (multiplicity 4)  6 B 2.76-2.92, 4 Co 2.79, 2 Tb 3.06
Co: 0.0000 0.3891 0.2500 (multiplicity 4)  4 B 2.02-2.08
B: 0.0000 0.1945 0.7500 (multiplicity 4)  2 B 1.75
B: 0.0000 0.2883 0.5458 (multiplicity 8)  2 B 1.75-1.85

The calculated formation energy is -76 meV per atom. The total magnetic moment is 0.00 μB/f.u. The value obtained for the volume is 10.97 Å³ per atom.

---

Entry 8:
Material: Tb3Co4B4
Method: DFT, PBE
State: optimized geometry

a = 21.7066 Å, b = 3.3856 Å, c = 3.9822 Å
α = 90.00°, β = 96.55°, γ = 90.00°
With the nearest neighbours (Å) after each atom.
Space group C2/m (No. 12)
Inequivalent atoms, fractional coordinates:
Tb: 0.0000 0.0000 0.0000 (multiplicity 2)  8 Co 2.89-2.92, 4 B 3.04-3.10
Tb: 0.1486 0.5000 0.1034 (multiplicity 4)  7 B 2.62-2.75, 4 Co 2.76-2.93
Co: 0.0591 0.5000 0.5420 (multiplicity 4)  2 B 2.00
Co: 0.2137 0.0000 0.6307 (multiplicity 4)  5 B 2.07-2.27
B: 0.1085 0.0000 0.5780 (multiplicity 4)  2 Co 2.00
B: 0.2447 0.0000 0.1457 (multiplicity 4)  4 Co 2.07-2.12, 2 B 2.08

The calculated formation energy is -354 meV per atom. The total magnetic moment is 0.00 μB/f.u. The value obtained for the volume is 13.22 Å³ per atom.

---

Entry 9:
Material: TbCo3B2
Method: DFT, PBE
State: optimized geometry

a = 8.4083 Å, b = 8.4083 Å, c = 3.3024 Å
α = 90.00°, β = 90.00°, γ = 120.00°
With the nearest neighbours (Å) after each atom.
Space group P6/mmm (No. 191)
Inequivalent atoms, fractional coordinates:
Tb: 0.0000 0.0000 0.0000 (multiplicity 1)  6 B 2.73, 12 Co 2.92
Tb: 0.3333 0.6667 0.5000 (multiplicity 2)  6 B 2.69, 6 Co 2.94
Co: 0.0000 0.2859 0.5000 (multiplicity 6)  4 B 2.14
Co: 0.0000 0.5000 0.0000 (multiplicity 3)  4 B 2.29, 4 Co 2.44
B: 0.1873 0.3745 0.0000 (multiplicity 6)  6 Co 2.14-2.29

The calculation puts the offset from the most stable computed form at 0.201 eV/atom. The calculated formation energy is -281 meV per atom. The total magnetic moment is 2.33 μB/f.u. The value obtained for the volume is 11.23 Å³ per atom.

---

Entry 10:
Material: TbCo4B
Method: DFT, PBE
State: optimized geometry

a = 4.0381 Å, b = 13.4852 Å, c = 5.5301 Å
α = 90.00°, β = 90.00°, γ = 90.00°
With the nearest neighbours (Å) after each atom.
Space group Cmcm (No. 63)
Inequivalent atoms, fractional coordinates:
Tb: 0.0000 0.0951 0.2500 (multiplicity 4)  13 Co 2.76-3.03
Co: 0.0000 0.1296 0.7500 (multiplicity 4)  2 B 2.05
Co: 0.0000 0.2930 0.5019 (multiplicity 8)  1 B 1.97
Co: 0.0000 0.5000 0.0000 (multiplicity 4)  2 B 1.96
B: 0.0000 0.3966 0.2500 (multiplicity 4)  6 Co 1.96-2.05

The calculated formation energy is -121 meV per atom. The total magnetic moment is 3.59 μB/f.u. The value obtained for the volume is 12.55 Å³ per atom.

---

Entry 11:
Material: TbCo5B3
Method: DFT, PBE
State: optimized geometry

a = 3.4403 Å, b = 10.8849 Å, c = 10.3199 Å
α = 90.00°, β = 90.00°, γ = 90.00°
With the nearest neighbours (Å) after each atom.
Space group Cmcm (No. 63)
Inequivalent atoms, fractional coordinates:
Tb: 0.0000 0.1653 0.2500 (multiplicity 4)  7 B 2.80-3.11, 4 Co 2.95
Co: 0.0000 0.0000 0.0000 (multiplicity 4)  4 B 2.19, 6 Co 2.28-2.35
Co: 0.0000 0.2005 0.5653 (multiplicity 8)  2 B 1.99-2.09
Co: 0.0000 0.4458 0.1438 (multiplicity 8)  4 B 2.04-2.16, 1 Co 2.19
B: 0.0000 0.1208 0.7500 (multiplicity 4)  6 Co 2.09-2.16
B: 0.0000 0.3821 0.5419 (multiplicity 8)  5 Co 1.99-2.19

The calculated formation energy is -270 meV per atom. The total magnetic moment is 0.92 μB/f.u. The value obtained for the volume is 10.73 Å³ per atom.

---

Entry 12:
Material: TbCo7B2
Method: DFT, PBE
State: optimized geometry

a = 6.1867 Å, b = 10.0795 Å, c = 4.0190 Å
α = 90.00°, β = 90.00°, γ = 90.00°
With the nearest neighbours (Å) after each atom.
Space group Cmmm (No. 65)
Inequivalent atoms, fractional coordinates:
Tb: 0.0000 0.0000 0.0000 (multiplicity 2)  10 Co 2.73-3.06
Co: 0.0000 0.3035 0.0000 (multiplicity 4)  2 B 2.01
Co: 0.0000 0.5000 0.5000 (multiplicity 2)  2 B 2.03
Co: 0.1958 0.1387 0.5000 (multiplicity 8)  2 B 1.99-2.01
B: 0.0000 0.2983 0.5000 (multiplicity 4)  7 Co 1.99-2.03

The calculated formation energy is 121 meV per atom. The total magnetic moment is 7.51 μB/f.u. The value obtained for the volume is 12.53 Å³ per atom.